1.
Computed, not measured: crystalline Tb5Er6Pu at its relaxed geometry at the PBE-GGA level of DFT.

The structure in CIF format:
```
data_Tb5Er6Pu
_chemical_formula_sum 'Tb10 Er12 Pu2'
_symmetry_space_group_name_H-M 'C 1 2/m 1'
_symmetry_Int_Tables_number 12
_cell_length_a 6.096
_cell_length_b 10.565
_cell_length_c 11.613
_cell_angle_alpha 90.00
_cell_angle_beta 100.10
_cell_angle_gamma 90.00
loop_
_symmetry_equiv_pos_as_xyz
'x,y,z'
'-x,-y,-z'
'-x,y,-z'
'x,-y,z'
'x+1/2,y+1/2,z'
'-x+1/2,-y+1/2,-z'
'-x+1/2,y+1/2,-z'
'x+1/2,-y+1/2,z'
loop_
_atom_site_label
_atom_site_fract_x
_atom_site_fract_y
_atom_site_fract_z
Tb1 0.000 0.000 0.000
Tb2 0.000 0.167 0.500
Tb3 0.000 0.333 0.000
Er1 0.247 0.335 0.748
Er2 0.247 0.500 0.252
Pu1 0.000 0.500 0.500
```

- magnetic moment (μB per atom) = 0.5350
- electronic total energy (eV/atom) = -5.364
- density of states at the Fermi level (states/eV/cell) = 47.6

=====

2.
Computed, not measured: crystalline ErAl7Cu5 at its relaxed geometry at the PBE-GGA level of DFT.

The structure in CIF format:
```
data_ErAl7Cu5
_chemical_formula_sum 'Er2 Al14 Cu10'
_symmetry_space_group_name_H-M 'I m m 2'
_symmetry_Int_Tables_number 44
_cell_length_a 5.096
_cell_length_b 8.779
_cell_length_c 8.662
_cell_angle_alpha 90.00
_cell_angle_beta 90.00
_cell_angle_gamma 90.00
loop_
_symmetry_equiv_pos_as_xyz
'x,y,z'
'-x,-y,z'
'-x,y,z'
'x,-y,z'
'x+1/2,y+1/2,z+1/2'
'-x+1/2,-y+1/2,z+1/2'
'-x+1/2,y+1/2,z+1/2'
'x+1/2,-y+1/2,z+1/2'
loop_
_atom_site_label
_atom_site_fract_x
_atom_site_fract_y
_atom_site_fract_z
Er1 0.000 0.000 0.000
Al1 0.000 0.000 0.345
Al2 0.000 0.000 0.650
Al3 0.000 0.294 0.509
Al4 0.000 0.347 0.994
Al5 0.000 0.500 0.276
Cu1 0.000 0.500 0.728
Cu2 0.249 0.253 0.254
```

- magnetic moment (μB per atom) = 0.0000
- electronic total energy (eV/atom) = -4.284
- density of states at the Fermi level (states/eV/cell) = 5.1

=====

3.
Computed, not measured: crystalline Cd2Te2As at its relaxed geometry at the PBE-GGA level of DFT.

The structure in CIF format:
```
data_Cd2Te2As
_chemical_formula_sum 'Cd4 Te4 As2'
_symmetry_space_group_name_H-M 'P 4/m b m'
_symmetry_Int_Tables_number 127
_symmetry_space_group_name_Hall '-P 4 2ab'
_cell_length_a 8.188
_cell_length_b 8.188
_cell_length_c 4.357
_cell_angle_alpha 90.00
_cell_angle_beta 90.00
_cell_angle_gamma 90.00
loop_
_atom_site_label
_atom_site_fract_x
_atom_site_fract_y
_atom_site_fract_z
Cd1 0.120 0.380 0.000
Te1 0.214 0.714 0.500
As1 0.000 0.000 0.500
```

- magnetic moment (μB per atom) = 0.0000
- uncorrected formation energy (meV/atom) = 66
- electronic total energy (eV/atom) = -2.486
- density of states at the Fermi level (states/eV/cell) = 3.7

=====

4.
Computed, not measured: crystalline Tb8PmDy6 at its relaxed geometry at the PBE-GGA level of DFT.

The structure in CIF format:
```
data_Tb8PmDy6
_chemical_formula_sum 'Tb24 Pm3 Dy18'
_symmetry_space_group_name_H-M 'R -3'
_symmetry_Int_Tables_number 148
_symmetry_space_group_name_Hall '-R 3'
_cell_length_a 9.0416
_cell_length_b 9.0416
_cell_length_c 20.6000
_cell_angle_alpha 90.00
_cell_angle_beta 90.00
_cell_angle_gamma 120.00
loop_
_atom_site_label
_atom_site_fract_x
_atom_site_fract_y
_atom_site_fract_z
Tb1 0.0000 0.0000 0.0767
Tb2 0.0810 0.5526 0.3080
Pm1 0.0000 0.0000 0.5000
Dy1 0.0576 0.2452 0.2071
```

- magnetic moment (μB per atom) = 0.0000
- electronic total energy (eV/atom) = -4.497
- density of states at the Fermi level (states/eV/cell) = 66.9

=====

5.
Computed, not measured: crystalline DyY4ScS8 at its relaxed geometry at the PBE-GGA level of DFT.

The structure in CIF format:
```
data_DyY4ScS8
_chemical_formula_sum 'Dy3 Y12 Sc3 S24'
_symmetry_space_group_name_H-M 'R 3 m'
_symmetry_Int_Tables_number 160
_symmetry_space_group_name_Hall 'R 3 -2"'
_cell_length_a 7.9870
_cell_length_b 7.9870
_cell_length_c 19.5621
_cell_angle_alpha 90.00
_cell_angle_beta 90.00
_cell_angle_gamma 120.00
loop_
_atom_site_label
_atom_site_fract_x
_atom_site_fract_y
_atom_site_fract_z
Dy1 0.0000 0.0000 0.0000
Y1 0.0000 0.0000 0.3783
Y2 0.0087 0.5044 0.5043
Sc1 0.0000 0.0000 0.6281
S1 0.0000 0.0000 0.2446
S2 0.0000 0.0000 0.7553
S3 0.0235 0.5118 0.7559
S4 0.1699 0.3397 0.5860
```

- magnetic moment (μB per atom) = 0.0564
- uncorrected formation energy (meV/atom) = -1929
- electronic total energy (eV/atom) = -6.915
- density of states at the Fermi level (states/eV/cell) = 19.0

=====

6.
Computed, not measured: crystalline FeNi2Hg2 at its relaxed geometry at the PBE-GGA level of DFT.

The structure in CIF format:
```
data_FeNi2Hg2
_chemical_formula_sum 'Fe2 Ni4 Hg4'
_symmetry_space_group_name_H-M 'P 4/m b m'
_symmetry_Int_Tables_number 127
_symmetry_space_group_name_Hall '-P 4 2ab'
_cell_length_a 6.266
_cell_length_b 6.266
_cell_length_c 4.027
_cell_angle_alpha 90.00
_cell_angle_beta 90.00
_cell_angle_gamma 90.00
loop_
_atom_site_label
_atom_site_fract_x
_atom_site_fract_y
_atom_site_fract_z
Fe1 0.000 0.000 0.000
Ni1 0.134 0.366 0.000
Hg1 0.173 0.673 0.500
```

- magnetic moment (μB per atom) = 0.7284
- electronic total energy (eV/atom) = -3.820
- density of states at the Fermi level (states/eV/cell) = 10.6

=====

7.
Computed, not measured: crystalline YGeBi at its relaxed geometry at the PBE-GGA level of DFT.

The structure in CIF format:
```
data_YGeBi
_chemical_formula_sum 'Y1 Ge1 Bi1'
_symmetry_space_group_name_H-M 'P 3 m 1'
_symmetry_Int_Tables_number 156
_cell_length_a 4.9624
_cell_length_b 4.9624
_cell_length_c 3.8347
_cell_angle_alpha 90.00
_cell_angle_beta 90.00
_cell_angle_gamma 120.00
loop_
_symmetry_equiv_pos_as_xyz
'x,y,z'
'-y,x-y,z'
'-x+y,-x,z'
'-y,-x,z'
'-x+y,y,z'
'x,x-y,z'
loop_
_atom_site_label
_atom_site_fract_x
_atom_site_fract_y
_atom_site_fract_z
Y1 0.0000 0.0000 0.0000
Ge1 0.6667 0.3333 0.4947
Bi1 0.3333 0.6667 0.5013
```

- magnetic moment (μB per atom) = 0.0000
- excess energy over the best structure of this formula in the dataset (meV per atom) = 336
- electronic total energy (eV/atom) = -5.234
- density of states at the Fermi level (states/eV/cell) = 1.8

=====

8.
Computed, not measured: crystalline PaPSe4 at its relaxed geometry at the PBE-GGA level of DFT.

The structure in CIF format:
```
data_PaPSe4
_chemical_formula_sum 'Pa2 P2 Se8'
_symmetry_space_group_name_H-M 'P 2 2 2'
_symmetry_Int_Tables_number 16
_cell_length_a 7.278
_cell_length_b 7.315
_cell_length_c 7.624
_cell_angle_alpha 90.00
_cell_angle_beta 90.00
_cell_angle_gamma 90.00
loop_
_symmetry_equiv_pos_as_xyz
'x,y,z'
'-x,-y,z'
'x,-y,-z'
'-x,y,-z'
loop_
_atom_site_label
_atom_site_fract_x
_atom_site_fract_y
_atom_site_fract_z
Pa1 0.000 0.000 0.000
Pa2 0.500 0.000 0.500
P1 0.000 0.000 0.500
P2 0.000 0.500 0.000
Se1 0.207 0.285 0.136
Se2 0.224 0.170 0.673
```

- magnetic moment (μB per atom) = 0.0097
- uncorrected formation energy (meV/atom) = -465
- electronic total energy (eV/atom) = -5.272
- density of states at the Fermi level (states/eV/cell) = 3.6

=====

9.
Computed, not measured: crystalline Pm2Ag2Pt15 at its relaxed geometry at the PBE-GGA level of DFT.

The structure in CIF format:
```
data_Pm2Ag2Pt15
_chemical_formula_sum 'Pm6 Ag6 Pt45'
_symmetry_space_group_name_H-M 'R -3 m'
_symmetry_Int_Tables_number 166
_symmetry_space_group_name_Hall '-R 3 2"'
_cell_length_a 9.3436
_cell_length_b 9.3436
_cell_length_c 13.4463
_cell_angle_alpha 90.00
_cell_angle_beta 90.00
_cell_angle_gamma 120.00
loop_
_atom_site_label
_atom_site_fract_x
_atom_site_fract_y
_atom_site_fract_z
Pm1 0.0000 0.0000 0.1550
Ag1 0.0000 0.0000 0.3994
Pt1 0.0000 0.3166 0.5000
Pt2 0.0000 0.5000 0.0000
Pt3 0.0050 0.5025 0.6590
```

- magnetic moment (μB per atom) = 0.0000
- electronic total energy (eV/atom) = -6.010
- density of states at the Fermi level (states/eV/cell) = 44.7

=====

10.
Computed, not measured: crystalline CrCu3Br at its relaxed geometry at the PBE-GGA level of DFT.

The structure in CIF format:
```
data_CrCu3Br
_chemical_formula_sum 'Cr1 Cu3 Br1'
_symmetry_space_group_name_H-M 'P m -3 m'
_symmetry_Int_Tables_number 221
_symmetry_space_group_name_Hall '-P 4 2 3'
_cell_length_a 4.740
_cell_length_b 4.740
_cell_length_c 4.740
_cell_angle_alpha 90.00
_cell_angle_beta 90.00
_cell_angle_gamma 90.00
loop_
_atom_site_label
_atom_site_fract_x
_atom_site_fract_y
_atom_site_fract_z
Cr1 0.000 0.000 0.000
Cu1 0.000 0.000 0.500
Br1 0.500 0.500 0.500
```

- magnetic moment (μB per atom) = 0.9178
- uncorrected formation energy (meV/atom) = 1188
- excess energy over the best structure of this formula in the dataset (meV per atom) = 0
- electronic total energy (eV/atom) = -3.529
- density of states at the Fermi level (states/eV/cell) = 3.9

=====

Q: What is the electronic total energy in the second record?
A: -4.284 eV/atom

=====

What did the third record say?
Computed, not measured: crystalline Cd2Te2As at its relaxed geometry at the PBE-GGA level of DFT.

The structure in CIF format:
```
data_Cd2Te2As
_chemical_formula_sum 'Cd4 Te4 As2'
_symmetry_space_group_name_H-M 'P 4/m b m'
_symmetry_Int_Tables_number 127
_symmetry_space_group_name_Hall '-P 4 2ab'
_cell_length_a 8.188
_cell_length_b 8.188
_cell_length_c 4.357
_cell_angle_alpha 90.00
_cell_angle_beta 90.00
_cell_angle_gamma 90.00
loop_
_atom_site_label
_atom_site_fract_x
_atom_site_fract_y
_atom_site_fract_z
Cd1 0.120 0.380 0.000
Te1 0.214 0.714 0.500
As1 0.000 0.000 0.500
```

- magnetic moment (μB per atom) = 0.0000
- uncorrected formation energy (meV/atom) = 66
- electronic total energy (eV/atom) = -2.486
- density of states at the Fermi level (states/eV/cell) = 3.7